[1]
First-principles (PBE) data for RbAuF4 after structural relaxation, as listed in Alexandria.

Output
Formation energy (no corrections) ... -1033 kJ/mol of formula units
N(E_F) ... 0.000 states/eV per atom

a b c (Å): 6.3913 6.3913 11.9619
angles (deg): 90.00 90.00 90.00
Closest atoms and distances in Å follow each position.
Space group I4/mcm (No. 140)
Inequivalent atoms, fractional coordinates:
Rb (0.0000, 0.0000, 0.2500)  8 F 2.90
Au (0.0000, 0.5000, 0.0000)  4 F 1.97
F (0.1547, 0.3453, 0.1155)  1 Au 1.97


[2]
First-principles (PBE) data for Rb3Au2F9 after structural relaxation, as listed in Alexandria.

Output
Formation energy (no corrections) ... -2533 kJ/mol of formula units

a b c (Å): 6.5811 7.0080 15.4327
angles (deg): 91.17 90.19 116.34
Closest atoms and distances in Å follow each position.
Space group P-1 (No. 2)
Inequivalent atoms, fractional coordinates:
Rb (0.0006, 0.0619, 0.3108)  6 F 2.68-3.00
Rb (0.1974, 0.4642, 0.8767)  7 F 2.82-2.97
Rb (0.3307, 0.6298, 0.5645)  3 F 2.69-2.99
Au (0.3469, 0.6842, 0.3214)  4 F 1.97-1.98
Au (0.4431, 0.9015, 0.1158)  4 F 1.96-1.97
F (0.0955, 0.7274, 0.3723)  1 Au 1.97
F (0.1318, 0.4741, 0.2379)  1 Au 1.97
F (0.1911, 0.9425, 0.1668)  1 Au 1.97
F (0.2299, 0.6792, 0.0366)  1 Au 1.96
F (0.2544, 0.3655, 0.4263)  1 Au 2.63, 3 Rb 2.68-2.72
F (0.3096, 0.1427, 0.9358)  1 Au 1.96
F (0.3440, 0.8766, 0.8045)  1 Au 1.97
F (0.3980, 0.3584, 0.7279)  1 Au 1.98
F (0.4378, 0.0954, 0.5976)  1 Au 1.98


[3]
First-principles (PBE) data for Rb6Au2F after structural relaxation, as listed in Alexandria.

Output
Formation energy (no corrections) ... -602 kJ/mol of formula units
N(E_F) ... 0.593 states/eV per atom

a b c (Å): 7.9717 9.1768 13.6295
angles (deg): 90.00 124.23 90.00
Closest atoms and distances in Å follow each position.
Space group P2_1/c (No. 14)
Inequivalent atoms, fractional coordinates:
Rb (0.1274, 0.0306, 0.2419)  1 F 2.87
Rb (0.2097, 0.6996, 0.0582)  1 F 3.09
Rb (0.3580, 0.1566, 0.0546)  1 F 2.89
Au (0.2972, 0.1102, 0.7519)  7 Rb 3.51-3.90
F (0.0000, 0.0000, 0.0000)  6 Rb 2.87-3.09


[4]
First-principles (PBE) data for Rb12Au5F2 after structural relaxation, as listed in Alexandria.

Output
Formation energy (no corrections) ... -1217 kJ/mol of formula units
N(E_F) ... 0.676 states/eV per atom

a b c (Å): 19.1760 8.9781 10.6946
angles (deg): 90.00 106.27 90.00
Closest atoms and distances in Å follow each position.
Space group C2/m (No. 12)
Inequivalent atoms, fractional coordinates:
Rb (0.0022, 0.0000, 0.1935)  2 F 3.04
Rb (0.0037, 0.5000, 0.8207)  2 F 2.97
Rb (0.1484, 0.2502, 0.5712)  4 Au 3.54-3.64
Rb (0.1619, 0.2452, 0.0851)  1 F 2.98
Au (0.0000, 0.5000, 0.5000)  6 Rb 3.41-3.54
Au (0.1864, 0.0000, 0.8465)  7 Rb 3.50-3.61
Au (0.1962, 0.0000, 0.3466)  7 Rb 3.47-3.64
F (0.0000, 0.2490, 0.0000)  6 Rb 2.97-3.04


[5]
First-principles (PBE) data for Rb3AuF6 after structural relaxation, as listed in Alexandria.

Output
Formation energy (no corrections) ... -1970 kJ/mol of formula units

a b c (Å): 7.2187 7.2762 7.3475
angles (deg): 74.35 72.70 87.94
Closest atoms and distances in Å follow each position.
Space group P-1 (No. 2)
Inequivalent atoms, fractional coordinates:
Rb (0.0000, 0.0000, 0.0000)  6 F 2.70-2.99
Rb (0.0000, 0.5000, 0.5000)  4 F 2.67-2.96
Rb (0.5000, 0.0000, 0.5000)  4 F 2.69-2.96
Au (0.0000, 0.0000, 0.5000)  4 F 1.99
F (0.0764, 0.7857, 0.6928)  1 Au 1.99
F (0.2075, 0.2132, 0.6373)  3 Rb 2.67-2.70, 1 Au 2.75
F (0.2234, 0.9491, 0.2878)  1 Au 1.99


[6]
First-principles (PBE) data for Rb6Au3F2 after structural relaxation, as listed in Alexandria.

Output
Formation energy (no corrections) ... -1176 kJ/mol of formula units
N(E_F) ... 0.355 states/eV per atom

a b c (Å): 5.4720 5.4720 28.0704
angles (deg): 90.00 90.00 90.00
Closest atoms and distances in Å follow each position.
Space group I4/mmm (No. 139)
Inequivalent atoms, fractional coordinates:
Rb (0.0000, 0.0000, 0.1988)  1 F 2.74
Rb (0.0000, 0.5000, 0.0841)  2 F 2.78
Au (0.0000, 0.0000, 0.3274)  9 Rb 3.61-3.94
Au (0.0000, 0.0000, 0.5000)  8 Rb 3.61
F (0.0000, 0.0000, 0.1012)  5 Rb 2.74-2.78


[7]
First-principles (PBE) data for Rb4Au2F after structural relaxation, as listed in Alexandria.

Output
Formation energy (no corrections) ... -590 kJ/mol of formula units
N(E_F) ... 0.595 states/eV per atom
Energy above the most stable polymorph in this dataset ... 36 meV per atom

a b c (Å): 10.1607 8.1339 14.5084
angles (deg): 90.00 90.00 90.00
Closest atoms and distances in Å follow each position.
Space group Pnma (No. 62)
Inequivalent atoms, fractional coordinates:
Rb (0.0469, 0.2500, 0.0723)  1 F 2.61
Rb (0.1725, 0.5010, 0.3484)  1 F 2.63
Rb (0.1849, 0.2500, 0.5941)  1 F 2.64
Au (0.0223, 0.2500, 0.8199)  7 Rb 3.65-3.74
Au (0.1081, 0.7500, 0.5507)  6 Rb 3.52-3.80
F (0.2095, 0.7500, 0.9277)  4 Rb 2.61-2.64


[8]
First-principles (PBE) data for RbAu4F12 after structural relaxation, as listed in Alexandria.

Output
Formation energy (no corrections) ... -1922 kJ/mol of formula units
N(E_F) ... 0.322 states/eV per atom

a b c (Å): 8.5724 8.5724 8.5724
angles (deg): 90.00 90.00 90.00
Closest atoms and distances in Å follow each position.
Space group Im-3m (No. 229)
Inequivalent atoms, fractional coordinates:
Rb (0.0000, 0.0000, 0.0000)  12 F 2.96
Au (0.2500, 0.2500, 0.2500)  6 F 2.14
F (0.0000, 0.2442, 0.2442)  2 Au 2.14